(1)
VASP calculation (PBE-GGA) on an optimized crystal structure of Pm2PrErSb4.

Cell: 7.7483 4.4786 7.7528 Å, 90.00 109.49 90.00°
With the nearest neighbours (Å) after each atom.
Space group P2/m (No. 10)
One atom of each set of equivalent atoms:
Pm 0.0000 0.0000 0.0000  6 Sb 3.20
Pm 0.5000 0.5000 0.0000  6 Sb 3.15
Pr 0.0000 0.5000 0.5000  6 Sb 3.18
Er 0.5000 0.0000 0.5000  6 Sb 3.13
Sb 0.2558 0.0000 0.7495  1 Er 3.13, 3 Pm 3.15-3.20, 2 Pr 3.18
Sb 0.2575 0.5000 0.2549  2 Er 3.13, 3 Pm 3.15-3.20, 1 Pr 3.18

## Properties
The calculated volume is 31.70 Å³ per atom. The crystal system is monoclinic. The total energy comes out at -5.57 eV/atom. The calculation puts the magnetic moment at 0.00 μB per cell.

(2)
VASP calculation (PBE-GGA) on an optimized crystal structure of Ho6IrPd2.

Cell: 9.5050 9.6006 9.6297 Å, 90.00 90.00 90.00°
With the nearest neighbours (Å) after each atom.
Space group Immm (No. 71)
One atom of each set of equivalent atoms:
Ho 0.0000 0.2087 0.1680  3 Pd 2.76-2.97
Ho 0.1722 0.2413 0.5000  3 Pd 2.97-3.12, 1 Ir 2.97, 1 Ho 3.27
Ho 0.1846 0.5000 0.2417  2 Pd 2.91-3.17, 2 Ir 2.91-3.04
Ir 0.0000 0.5000 0.0000  8 Ho 2.91-3.23
Ir 0.0000 0.5000 0.5000  8 Ho 2.97-3.04, 2 Pd 3.27
Pd 0.0000 0.0000 0.3649  1 Pd 2.60, 2 Ho 2.76
Pd 0.1559 0.0000 0.0000  8 Ho 2.91-2.97, 1 Pd 2.96

## Properties
The formation energy from the elements is -0.623 eV per atom. The calculated volume is 24.41 Å³ per atom. The crystal system is orthorhombic. The calculation puts the magnetic moment at 0.00 μB per cell.

(3)
VASP calculation (PBE-GGA) on an optimized crystal structure of YBeSb2.

Cell: 3.9864 3.9864 21.2755 Å, 90.00 90.00 120.00°
With the nearest neighbours (Å) after each atom.
Space group R-3m (No. 166, hexagonal axes)
One atom of each set of equivalent atoms:
Y 0.0000 0.0000 0.0000  6 Sb 3.14
Be 0.0000 0.0000 0.5000  6 Sb 2.70
Sb 0.0000 0.0000 0.2330  3 Be 2.70

## Properties
The calculated volume is 24.40 Å³ per atom. The crystal system is trigonal. The total energy comes out at -4.76 eV/atom. The calculation puts the magnetic moment at 0.00 μB per cell.

(4)
VASP calculation (PBE-GGA) on an optimized crystal structure of Na6MnI8.

Cell: 12.9506 12.9506 12.9506 Å, 90.00 90.00 90.00°
With the nearest neighbours (Å) after each atom.
Space group Fm-3m (No. 225)
One atom of each set of equivalent atoms:
Na 0.0000 0.2500 0.2500  6 I 3.24-3.25
Mn 0.0000 0.0000 0.0000  6 I 2.96
I 0.0000 0.0000 0.2282  1 Mn 2.96, 4 Na 3.25
I 0.2500 0.2500 0.2500  6 Na 3.24

## Properties
The calculated volume is 36.20 Å³ per atom. The crystal system is cubic. The total energy comes out at -3.05 eV/atom. The calculation puts the magnetic moment at 20.00 μB per cell.

(5)
VASP calculation (PBE-GGA) on an optimized crystal structure of Na2Pb2Br7.

Cell: 4.4310 15.7898 9.7748 Å, 90.00 90.00 90.00°
With the nearest neighbours (Å) after each atom.
Space group Imm2 (No. 44)
One atom of each set of equivalent atoms:
Na 0.0000 0.2449 0.0000  6 Br 3.00-3.27
Pb 0.0000 0.0000 0.7472  4 Br 2.96-3.08
Pb 0.0000 0.5000 0.6946  6 Br 2.99-3.04
Br 0.0000 0.1232 0.2704  2 Pb 3.04, 1 Na 3.27
Br 0.0000 0.1900 0.6774  3 Na 3.00-3.27, 1 Pb 3.08
Br 0.0000 0.3880 0.4482  1 Pb 2.99, 2 Na 3.09
Br 0.0000 0.5000 0.0470  2 Pb 2.96

## Properties
The calculated volume is 31.09 Å³ per atom. The crystal system is orthorhombic. The total energy comes out at -2.93 eV/atom. The calculation puts the magnetic moment at 0.00 μB per cell.

(6)
VASP calculation (PBE-GGA) on an optimized crystal structure of LiInH2.

Cell: 5.6409 5.6409 6.8013 Å, 90.00 90.00 90.00°
With the nearest neighbours (Å) after each atom.
Space group I-42d (No. 122)
One atom of each set of equivalent atoms:
Li 0.0000 0.0000 0.0000  4 H 1.85
In 0.0000 0.0000 0.5000  4 H 2.58
H 0.1482 0.2500 0.1250  2 Li 1.85

## Properties
Its energy above the lowest structure with this stoichiometry is 179 meV/atom. The calculated volume is 13.53 Å³ per atom. The crystal system is tetragonal. The calculation puts the magnetic moment at 0.00 μB per cell.

(7)
VASP calculation (PBE-GGA) on an optimized crystal structure of PmMnZnGe.

Cell: 6.7868 6.7868 6.7868 Å, 90.00 90.00 90.00°
With the nearest neighbours (Å) after each atom.
Space group F-43m (No. 216)
One atom of each set of equivalent atoms:
Pm 0.0000 0.0000 0.0000  4 Zn 2.94, 4 Ge 2.94
Mn 0.0000 0.0000 0.5000  4 Ge 2.94, 4 Zn 2.94
Zn 0.2500 0.2500 0.7500  4 Mn 2.94, 4 Pm 2.94
Ge 0.2500 0.2500 0.2500  4 Pm 2.94, 4 Mn 2.94

## Properties
The formation energy from the elements is -0.164 eV per atom. The calculated volume is 19.54 Å³ per atom. The crystal system is cubic. The calculation puts the magnetic moment at 15.08 μB per cell.

(8)
VASP calculation (PBE-GGA) on an optimized crystal structure of Nd5AlSn5.

Cell: 18.6340 5.7862 6.6322 Å, 90.00 110.62 90.00°
With the nearest neighbours (Å) after each atom.
Space group C2/m (No. 12)
One atom of each set of equivalent atoms:
Nd 0.0000 0.0000 0.0000  4 Sn 3.22-3.24, 2 Al 3.32
Nd 0.1729 0.5000 0.1769  2 Nd 3.32, 6 Sn 3.36-3.40
Nd 0.1791 0.5000 0.6830  7 Sn 3.12-3.37, 2 Nd 3.32
Al 0.0000 0.0000 0.5000  6 Sn 2.89-3.16
Sn 0.0000 0.5000 0.5000  2 Al 2.89, 2 Nd 3.12
Sn 0.1561 0.0000 0.4195  1 Al 3.14, 2 Sn 3.15-3.48, 7 Nd 3.24-3.38
Sn 0.1562 0.0000 0.8946  2 Sn 3.15-3.48, 1 Al 3.16, 7 Nd 3.22-3.40

## Properties
The formation energy from the elements is -0.365 eV per atom. The calculated volume is 30.42 Å³ per atom. The crystal system is monoclinic. The calculation puts the magnetic moment at 1.63 μB per cell.

(9)
VASP calculation (PBE-GGA) on an optimized crystal structure of TiBeSi.

Cell: 9.0972 3.6306 5.9225 Å, 90.00 130.51 90.00°
With the nearest neighbours (Å) after each atom.
Space group C2/m (No. 12)
One atom of each set of equivalent atoms:
Ti 0.0631 0.0000 0.3106  5 Si 2.58-2.70, 5 Be 2.60-2.64
Be 0.1491 0.5000 0.6938  1 Be 2.13, 3 Si 2.19-2.38
Si 0.1733 0.5000 0.1187  3 Be 2.19-2.38

## Properties
The calculated volume is 12.39 Å³ per atom. The crystal system is monoclinic. The total energy comes out at -6.22 eV/atom. The calculation puts the magnetic moment at 0.00 μB per cell.

(10)
VASP calculation (PBE-GGA) on an optimized crystal structure of RbCo2P2.

Cell: 3.6870 3.6870 13.9393 Å, 90.00 90.00 90.00°
With the nearest neighbours (Å) after each atom.
Space group I4/mmm (No. 139)
One atom of each set of equivalent atoms:
Rb 0.0000 0.0000 0.0000  8 P 3.46, 4 Rb 3.69
Co 0.0000 0.5000 0.2500  4 P 2.20
P 0.0000 0.0000 0.3364  4 Co 2.20

## Properties
The formation energy from the elements is -0.579 eV per atom. The calculated volume is 18.95 Å³ per atom. The crystal system is tetragonal. The calculation puts the magnetic moment at 0.00 μB per cell.

(11)
VASP calculation (PBE-GGA) on an optimized crystal structure of KYSn3.

Cell: 5.8552 5.8552 5.8552 Å, 90.00 90.00 90.00°
With the nearest neighbours (Å) after each atom.
Space group Pm-3m (No. 221)
One atom of each set of equivalent atoms:
K 0.0000 0.0000 0.0000  12 Sn 4.14
Y 0.5000 0.5000 0.5000  6 Sn 2.93
Sn 0.0000 0.5000 0.5000  2 Y 2.93

## Properties
Its energy above the lowest structure with this stoichiometry is 0 meV/atom. The formation energy from the elements is 0.063 eV per atom. The calculated volume is 40.15 Å³ per atom. The crystal system is cubic. The calculation puts the magnetic moment at 0.00 μB per cell.

(12)
VASP calculation (PBE-GGA) on an optimized crystal structure of Nd2Sm6Dy.

Cell: 9.9053 17.2238 3.5454 Å, 90.00 90.00 90.00°
With the nearest neighbours (Å) after each atom.
Space group Cmmm (No. 65)
One atom of each set of equivalent atoms:
Nd 0.0000 0.1668 0.0000  2 Nd 3.55, 12 Sm 3.75-3.77
Sm 0.1661 0.3344 0.5000  5 Sm 3.29-3.55
Sm 0.1687 0.0000 0.5000  5 Sm 3.29-3.55
Dy 0.0000 0.5000 0.0000  2 Dy 3.55, 12 Sm 3.73-3.74

## Properties
Its energy above the lowest structure with this stoichiometry is 0 meV/atom. The formation energy from the elements is 0.056 eV per atom. The calculated volume is 33.60 Å³ per atom. The crystal system is orthorhombic. The calculation puts the magnetic moment at 0.00 μB per cell.